# 1
SbW2Br: relaxed, GGA-PBE.

Properties
- magnetization (μB/cell) = 0.00
- total DFT energy (no corrections) (hartree per atom) = -0.2542
- distance to the lowest polymorph of the same formula (meV/atom) = 809

abc: 4.5288 3.8078 5.9393
angles: 94.34 90.00 90.00
Closest atoms and distances in Å follow each position.
Positions (direct):
W: 0.0000 0.0534 0.8932  1 W 2.35
W: 0.0000 0.4466 0.6068  1 W 2.35
Sb: 0.5000 0.7500 0.7500  4 W 2.65
Br: 0.5000 0.2500 0.2500  4 W 3.15, 2 Sb 3.40

# 2
Nd3Sm6Dy2Mg: relaxed, GGA-PBE.

Properties
- magnetization (μB/cell) = 0.00
- ΔH_f (0 K) (eV/atom) = 0.03
- total DFT energy (no corrections) (hartree per atom) = -0.1625

abc: 6.2565 6.2565 11.8705
angles: 95.06 95.06 120.06
Closest atoms and distances in Å follow each position.
Positions (direct):
Nd: 0.5000 0.5000 0.5000  6 Nd 3.61, 6 Sm 3.63-3.64
Nd: 0.1666 0.8334 0.5000  6 Nd 3.61, 6 Sm 3.63-3.65
Nd: 0.8334 0.1666 0.5000  6 Nd 3.61, 6 Sm 3.63-3.65
Sm: 0.2515 0.2515 0.7543  2 Dy 3.55, 1 Mg 3.55, 6 Sm 3.60-3.62, 3 Nd 3.63
Sm: 0.4120 0.0801 0.2443  1 Mg 3.53, 2 Dy 3.54, 6 Sm 3.60-3.62, 3 Nd 3.64-3.65
Sm: 0.7485 0.7485 0.2457  2 Dy 3.55, 1 Mg 3.55, 6 Sm 3.60-3.62, 3 Nd 3.63
Sm: 0.0801 0.4120 0.2443  1 Mg 3.53, 2 Dy 3.54, 6 Sm 3.60-3.62, 3 Nd 3.64-3.65
Sm: 0.5880 0.9199 0.7557  1 Mg 3.53, 2 Dy 3.54, 6 Sm 3.60-3.62, 3 Nd 3.64-3.65
Sm: 0.9199 0.5880 0.7557  1 Mg 3.53, 2 Dy 3.54, 6 Sm 3.60-3.62, 3 Nd 3.64-3.65
Dy: 0.6665 0.3335 0.0000  6 Sm 3.54-3.55, 3 Mg 3.61, 3 Dy 3.61
Dy: 0.3335 0.6665 0.0000  6 Sm 3.54-3.55, 3 Mg 3.61, 3 Dy 3.61
Mg: 0.0000 0.0000 0.0000  6 Sm 3.53-3.55, 6 Dy 3.61

# 3
Sr2Ga2Sn: relaxed, GGA-PBE.

Properties
- magnetization (μB/cell) = 0.00
- ΔH_f (0 K) (eV/atom) = -0.46
- total DFT energy (no corrections) (hartree per atom) = -0.1157
- distance to the lowest polymorph of the same formula (meV/atom) = 13

abc: 7.6068 7.6068 4.9509
angles: 90.00 90.00 90.00
Closest atoms and distances in Å follow each position.
Positions (direct):
Sr: 0.6809 0.8191 0.5000  6 Ga 3.27-3.40
Sr: 0.8191 0.3191 0.5000  6 Ga 3.27-3.40
Sr: 0.3191 0.1809 0.5000  6 Ga 3.27-3.40
Sr: 0.1809 0.6809 0.5000  6 Ga 3.27-3.40
Ga: 0.8802 0.6198 0.0000  1 Ga 2.58
Ga: 0.6198 0.1198 0.0000  1 Ga 2.58
Ga: 0.1198 0.3802 0.0000  1 Ga 2.58
Ga: 0.3802 0.8802 0.0000  1 Ga 2.58
Sn: 0.0000 0.0000 0.0000  4 Ga 3.03
Sn: 0.5000 0.5000 0.0000  4 Ga 3.03

# 4
InGa2Sn2: relaxed, GGA-PBE.

Properties
- magnetization (μB/cell) = 0.00
- ΔH_f (0 K) (eV/atom) = 0.09
- total DFT energy (no corrections) (hartree per atom) = -0.1202
- distance to the lowest polymorph of the same formula (meV/atom) = 33

abc: 4.9168 4.9168 6.5896
angles: 68.09 68.09 90.00
Closest atoms and distances in Å follow each position.
Positions (direct):
Sn: 0.3727 0.3727 0.2546  4 Ga 2.82, 1 Sn 2.85
Sn: 0.6273 0.6273 0.7454  4 Ga 2.82, 1 Sn 2.85
In: 0.0000 0.0000 0.0000  8 Ga 3.73, 8 Sn 3.76
Ga: 0.2500 0.7500 0.5000  4 Sn 2.82
Ga: 0.7500 0.2500 0.5000  4 Sn 2.82

# 5
NaSrY2Co: relaxed, GGA-PBE.

Properties
- magnetization (μB/cell) = 0.00
- ΔH_f (0 K) (eV/atom) = 0.09
- total DFT energy (no corrections) (hartree per atom) = -0.1658

abc: 5.2616 5.2616 5.9826
angles: 90.00 90.00 90.00
Closest atoms and distances in Å follow each position.
Positions (direct):
Sr: 0.0000 0.0000 0.5000  2 Co 2.99
Co: 0.0000 0.0000 0.0000  4 Y 2.63
Y: 0.5000 0.0000 0.0000  2 Co 2.63
Y: 0.0000 0.5000 0.0000  2 Co 2.63
Na: 0.5000 0.5000 0.5000  4 Sr 3.72, 8 Y 3.98

# 6
SiTc2BCl: relaxed, GGA-PBE.

Properties
- magnetization (μB/cell) = 4.64
- total DFT energy (no corrections) (hartree per atom) = -0.1844

abc: 4.6645 4.5093 4.6645
angles: 90.00 90.00 90.00
Closest atoms and distances in Å follow each position.
Positions (direct):
Tc: 0.5000 0.0000 0.0000  2 Si 2.33
Tc: 0.0000 0.0000 0.5000  2 Si 2.33
Cl: 0.0000 0.5000 0.0000  2 Si 2.25
B: 0.5000 0.5000 0.5000  8 Tc 3.24, 4 Cl 3.30
Si: 0.0000 0.0000 0.0000  2 Cl 2.25, 4 Tc 2.33